A plane-wave DFT calculation with GGA-PBE was carried out for crystalline HgPOs2 at its relaxed geometry.

mass density	16.55	g cm⁻³
calculated total energy	-24.27	eV for the cell shown
total moment	0.00	μB per formula unit
ΔH_f (0 K)	976	meV per atom

a b c (Å): 4.4097 4.4097 3.1571
angles (deg): 90.00 90.00 90.00
Last column: nearest neighbours and their distance in Å.
Space group P4/mmm (No. 123)
One atom of each set of equivalent atoms:
1 Hg 0.0000 0.0000 0.0000 x1  8 Os 2.71
2 P 0.5000 0.5000 0.0000 x1  8 Os 2.71
3 Os 0.0000 0.5000 0.5000 x2  4 Hg 2.71, 4 P 2.71